Entry from Alexandria: a geometry-optimized LiTc2F structure (PBEsol).

Geometry as CIF:
```
data_LiTc2F
_chemical_formula_sum 'Li2 Tc4 F2'
_cell_length_a 5.827
_cell_length_b 5.827
_cell_length_c 5.827
_cell_angle_alpha 95.66
_cell_angle_beta 95.66
_cell_angle_gamma 143.41
_space_group_name_H-M_alt 'P 1'
_space_group_IT_number 1
_space_group_name_Hall 'P 1'
loop_
_atom_site_label
_atom_site_type_symbol
_atom_site_fract_x
_atom_site_fract_y
_atom_site_fract_z
Li1 Li 0.000 0.000 0.000
Li2 Li 0.750 0.250 0.500
Tc1 Tc 0.208 0.625 0.083
Tc2 Tc 0.375 0.458 0.583
Tc3 Tc 0.542 0.125 0.917
Tc4 Tc 0.875 0.792 0.417
F1 F 0.250 0.750 0.500
F2 F 0.500 0.500 0.000
```

Energy above the lowest structure with this stoichiometry in eV/atom: 0.0000
Energy relative to the elements, uncorrected in eV/atom: 0.084